[1]
## Pr2NdGaCl3 (PBE)

Data for an optimized crystal structure of Pr2NdGaCl3.

## Properties
* total energy: -4.8147 eV per atom

```
data_Pr2NdGaCl3
_chemical_formula_sum 'Pr2 Nd1 Ga1 Cl3'
_cell_length_a 5.860
_cell_length_b 5.860
_cell_length_c 5.852
_cell_angle_alpha 90.00
_cell_angle_beta 90.00
_cell_angle_gamma 90.00
_symmetry_space_group_name_H-M 'P 4/m m m'
_symmetry_Int_Tables_number 123
_symmetry_space_group_name_Hall '-P 4 2'
loop_
_atom_site_label
_atom_site_fract_x
_atom_site_fract_y
_atom_site_fract_z
_atom_site_occupancy
Pr1 0.000 0.500 0.000 1
Nd1 0.000 0.000 0.500 1
Ga1 0.000 0.000 0.000 1
Cl1 0.000 0.500 0.500 1
Cl2 0.500 0.500 0.000 1
```


[2]
## Cu2F (PBE)

Data for an optimized crystal structure of Cu2F.

## Properties
* total energy: -3.2039 eV per atom

```
data_Cu2F
_chemical_formula_sum 'Cu4 F2'
_cell_length_a 4.695
_cell_length_b 4.695
_cell_length_c 3.583
_cell_angle_alpha 90.00
_cell_angle_beta 90.00
_cell_angle_gamma 90.00
_symmetry_space_group_name_H-M 'P 42/m n m'
_symmetry_Int_Tables_number 136
_symmetry_space_group_name_Hall '-P 4n 2n'
loop_
_atom_site_label
_atom_site_fract_x
_atom_site_fract_y
_atom_site_fract_z
_atom_site_occupancy
Cu1 0.192 0.192 0.000 1
F1 0.000 0.000 0.500 1
```


[3]
## LiTaS3 (PBE)

Data for an optimized crystal structure of LiTaS3.

## Properties
* total energy: -6.2481 eV per atom

```
data_LiTaS3
_chemical_formula_sum 'Li4 Ta4 S12'
_cell_length_a 8.848
_cell_length_b 3.466
_cell_length_c 13.654
_cell_angle_alpha 90.00
_cell_angle_beta 90.00
_cell_angle_gamma 90.00
_symmetry_space_group_name_H-M 'P n m a'
_symmetry_Int_Tables_number 62
loop_
_symmetry_equiv_pos_as_xyz
'x,y,z'
'-x,-y,-z'
'-x+1/2,-y,z+1/2'
'x+1/2,y,-z+1/2'
'x+1/2,-y+1/2,-z+1/2'
'-x+1/2,y+1/2,z+1/2'
'-x,y+1/2,-z'
'x,-y+1/2,z'
loop_
_atom_site_label
_atom_site_fract_x
_atom_site_fract_y
_atom_site_fract_z
_atom_site_occupancy
Li1 0.016 0.250 0.109 1
Ta1 0.184 0.250 0.557 1
S1 0.005 0.750 0.606 1
S2 0.172 0.750 0.193 1
S3 0.183 0.250 0.959 1
```


[4]
## Rb4CdF6 (PBE)

Data for an optimized crystal structure of Rb4CdF6.

## Properties
* total energy: -3.9976 eV per atom

```
data_Rb4CdF6
_chemical_formula_sum 'Rb24 Cd6 F36'
_cell_length_a 10.4385
_cell_length_b 10.4385
_cell_length_c 13.1690
_cell_angle_alpha 90.00
_cell_angle_beta 90.00
_cell_angle_gamma 120.00
_symmetry_space_group_name_H-M 'R -3 c'
_symmetry_Int_Tables_number 167
_symmetry_space_group_name_Hall '-R 3 2"c'
loop_
_atom_site_label
_atom_site_fract_x
_atom_site_fract_y
_atom_site_fract_z
_atom_site_occupancy
Rb1 0.0000 0.0000 0.2500 1
Rb2 0.0000 0.3640 0.2500 1
Cd1 0.0000 0.0000 0.0000 1
F1 0.0259 0.1875 0.4002 1
```


> Number 2 is which compound?

Cu2F


> Which of these has the lowest total energy?

LiTaS3


> The highest total energy belongs to which entry?

Cu2F